(1)
## Tb5Er4Th (PBE)

Data for a relaxed Tb5Er4Th crystal.

```
Tb5Er4Th
1.0
-0.880 -1.213 -3.214
-5.899 -7.885 4.590
-6.396 5.780 1.525
Tb Er Th
5 4 1
Cartesian
-7.543 -0.769 0.399
-5.247 2.381 -1.418
-5.631 -2.549 2.503
-3.389 -4.549 0.688
-7.927 -5.698 4.320
-9.236 -2.320 3.404
-4.752 -5.655 3.435
-8.422 2.337 -0.533
-3.938 -0.998 -0.502
-0.440 -0.606 -1.607
```

## Properties
- energy above the most stable polymorph in this dataset (eV/atom) = 0.000
- ΔE_f (eV/atom) = 0.173
- total energy (eV per atom) = -4.71

=====

(2)
## TbNdY14 (PBE)

Data for a relaxed TbNdY14 crystal.

```
TbNdY14
1.0
7.096 0.952 0.000
-0.952 7.096 0.000
0.000 0.000 10.095
Y Nd Tb
14 1 1
Cartesian
2.066 4.793 5.047
6.090 1.720 5.047
0.060 6.324 7.567
2.542 1.244 0.000
3.599 6.800 2.527
5.614 5.268 5.047
3.599 6.800 7.567
0.060 6.324 2.527
0.534 2.785 2.527
4.072 3.261 2.527
0.534 2.785 7.567
2.542 1.245 5.047
4.072 3.261 7.568
5.614 5.268 0.000
6.090 1.720 0.000
2.066 4.792 0.000
```

## Properties
- ΔE_f (eV/atom) = 0.021
- total energy (eV per atom) = -6.22

=====

(3)
## PmNdZnRu (PBE)

Data for a relaxed PmNdZnRu crystal.

```
PmNdZnRu
1.0
5.067 0.000 0.000
2.533 4.388 0.000
2.533 1.463 4.137
Pm Ru Zn Nd
1 1 1 1
Cartesian
0.000 0.000 0.000
2.533 1.463 1.034
7.600 4.388 3.103
5.067 2.925 2.068
```

## Properties
- energy above the most stable polymorph in this dataset (eV/atom) = 0.020
- ΔE_f (eV/atom) = -0.228
- total energy (eV per atom) = -5.25

=====

(4)
## KBaSr2Au (PBE)

Data for a relaxed KBaSr2Au crystal.

```
KBaSr2Au
1.0
6.239 0.000 0.000
0.000 6.239 0.000
0.000 0.000 6.575
Sr Ba Au K
2 1 1 1
Cartesian
0.000 3.119 0.000
3.119 0.000 0.000
3.119 3.119 3.287
0.000 0.000 0.000
0.000 0.000 3.287
```

## Properties
- energy above the most stable polymorph in this dataset (eV/atom) = 0.105
- ΔE_f (eV/atom) = -0.205
- total energy (eV per atom) = -2.14

=====

(5)
## CaY2Ni (PBE)

Data for a relaxed CaY2Ni crystal.

```
CaY2Ni
1.0
-1.551 0.343 3.131
1.443 -3.024 1.048
7.050 4.408 3.009
Y Ni Ca
2 1 1
Cartesian
1.570 -0.325 2.782
6.578 4.113 2.808
5.405 2.073 4.419
3.965 2.479 1.692
```

## Properties
- energy above the most stable polymorph in this dataset (eV/atom) = 0.074
- ΔE_f (eV/atom) = -0.063
- total energy (eV per atom) = -5.24

=====

(6)
## BaLuTlHg (PBE)

Data for a relaxed BaLuTlHg crystal.

```
BaLuTlHg
1.0
5.644 0.000 0.000
2.822 4.888 0.000
2.822 1.629 4.608
Ba Tl Lu Hg
1 1 1 1
Cartesian
8.466 4.888 3.456
5.644 3.259 2.304
2.822 1.629 1.152
0.000 0.000 0.000
```

## Properties
- ΔE_f (eV/atom) = -0.288
- total energy (eV per atom) = -2.57

=====

(7)
## ErZr2Pa (PBE)

Data for a relaxed ErZr2Pa crystal.

```
ErZr2Pa
1.0
-2.089 -1.826 1.708
1.092 -2.530 1.738
1.035 5.093 9.816
Er Zr Pa
1 2 1
Cartesian
0.369 2.184 12.106
0.684 3.417 7.596
0.018 0.227 3.372
0.020 0.372 6.636
```

## Properties
- energy above the most stable polymorph in this dataset (eV/atom) = 0.000
- ΔE_f (eV/atom) = 0.086
- total energy (eV per atom) = -7.70

=====

(8)
## Ca2AlMo (PBE)

Data for a relaxed Ca2AlMo crystal.

```
Ca2AlMo
1.0
3.120 -0.015 0.000
-0.372 3.098 0.000
0.000 0.000 9.849
Mo Al Ca
1 1 2
Cartesian
0.000 0.000 5.305
1.374 1.542 7.013
0.000 0.000 9.368
1.374 1.542 2.935
```

## Properties
- ΔE_f (eV/atom) = 0.330
- total energy (eV per atom) = -4.31

=====

Please write out number 4 again, unchanged.
## KBaSr2Au (PBE)

Data for a relaxed KBaSr2Au crystal.

```
KBaSr2Au
1.0
6.239 0.000 0.000
0.000 6.239 0.000
0.000 0.000 6.575
Sr Ba Au K
2 1 1 1
Cartesian
0.000 3.119 0.000
3.119 0.000 0.000
3.119 3.119 3.287
0.000 0.000 0.000
0.000 0.000 3.287
```

## Properties
- energy above the most stable polymorph in this dataset (eV/atom) = 0.105
- ΔE_f (eV/atom) = -0.205
- total energy (eV per atom) = -2.14